The following is a DFT calculation (GGA-PBE) of a geometry-optimized La4AlIn structure.

Its total magnetization is 0.0 μB per cell. Its density of states at the Fermi level is 8.720 states/eV/f.u. The calculation puts the calculated density at 5.34 g cm⁻³. The calculated formation energy comes out at -0.12 eV per atom. The distance to the lowest polymorph of the same formula is 177 meV per atom.

Geometry as POSCAR:
```
La4AlIn
1.0
4.6016 -2.6643 0.0000
4.6016 2.6643 0.0000
-3.0844 0.0000 8.8366
La Al In
4 1 1
Direct
0.1196 0.1196 0.3609 La
0.3723 0.3723 0.1153 La
0.6277 0.6277 0.8847 La
0.8804 0.8804 0.6391 La
0.0000 0.0000 0.0000 Al
0.5000 0.5000 0.5000 In
```